(1)
Entry from the Alexandria database: crystalline PaAuO at its relaxed geometry (GGA-PBE). Values from VASP.

The value obtained for the density is 12.666 g/cm³. As for the space group: P-6m2. As for the formation energy (no corrections): -1806 meV/atom.

Structure (Quantum ESPRESSO input):
```
&SYSTEM
  ibrav = 0, nat = 3, ntyp = 3
/
ATOMIC_SPECIES
Pa 231.04 Pa.upf
Au 196.97 Au.upf
O 16.00 O.upf
CELL_PARAMETERS angstrom
3.839 0.000 0.000
-1.920 3.325 0.000
0.000 0.000 4.560
ATOMIC_POSITIONS angstrom
Pa 0.000 0.000 0.000
Au 0.000 2.217 2.280
O 1.920 1.108 0.000
```



(2)
Entry from the Alexandria database: crystalline Pa3Au5O12 at its relaxed geometry (GGA-PBE). Values from VASP.

The value obtained for the density is 10.930 g/cm³. As for the space group: Ia-3d. As for the formation energy (no corrections): -1451 meV/atom.

Structure (Quantum ESPRESSO input):
```
&SYSTEM
  ibrav = 0, nat = 80, ntyp = 3
/
ATOMIC_SPECIES
Pa 231.04 Pa.upf
Au 196.97 Au.upf
O 16.00 O.upf
CELL_PARAMETERS angstrom
-6.574 6.574 6.574
6.574 -6.574 6.574
6.574 6.574 -6.574
ATOMIC_POSITIONS angstrom
Pa 3.287 1.643 0.000
Pa 6.574 3.287 -1.643
Pa 1.643 0.000 3.287
Pa 8.217 0.000 3.287
Pa 0.000 3.287 1.643
Pa 3.287 -1.643 6.574
Pa 3.287 8.217 0.000
Pa 6.574 3.287 4.930
Pa -1.643 6.574 3.287
Pa 4.930 6.574 3.287
Pa 0.000 3.287 8.217
Pa 3.287 4.930 6.574
Au 0.000 0.000 0.000
Au 3.287 3.287 -3.287
Au 3.287 -3.287 3.287
Au 6.574 0.000 0.000
Au 9.861 1.643 0.000
Au 6.574 -3.287 4.930
Au 4.930 6.574 -3.287
Au 4.930 0.000 3.287
Au 3.287 4.930 0.000
Au 6.574 3.287 1.643
Au -3.287 3.287 3.287
Au 0.000 6.574 0.000
Au 0.000 0.000 6.574
Au 3.287 3.287 3.287
Au 0.000 3.287 4.930
Au 3.287 1.643 6.574
Au 1.643 6.574 3.287
Au 1.643 0.000 9.861
Au 0.000 9.861 1.643
Au -3.287 4.930 6.574
O 1.997 -0.145 1.000
O 7.864 4.287 -3.432
O 6.429 -1.000 1.997
O 10.006 -1.290 2.287
O 8.571 0.145 1.000
O 7.864 -2.287 3.432
O 1.000 1.997 -0.145
O 8.861 3.142 -1.290
O 4.287 3.432 -1.290
O 5.574 1.997 0.145
O -0.145 1.000 1.997
O 3.432 -1.290 4.287
O 6.429 5.574 -1.997
O 3.432 1.290 2.287
O 5.574 -1.997 6.429
O 4.287 -3.432 7.864
O 2.287 3.432 1.290
O 7.574 4.577 0.145
O 1.997 6.429 -1.000
O 7.864 2.287 3.142
O 3.432 7.864 -2.287
O 6.429 1.000 4.577
O 1.290 2.287 3.432
O 1.997 0.145 5.574
O 4.577 6.429 1.000
O 5.284 4.287 3.142
O 0.145 5.574 1.997
O 3.142 -1.290 8.861
O -1.290 4.287 3.432
O 4.577 0.145 7.574
O -1.000 1.997 6.429
O 4.287 3.142 5.284
O 2.287 10.006 -1.290
O 1.000 8.571 0.145
O 3.142 5.284 4.287
O 0.145 1.000 8.571
O 3.142 7.864 2.287
O 6.719 5.574 4.577
O 1.000 4.577 6.429
O 2.287 3.142 7.864
O -2.287 3.432 7.864
O 5.574 4.577 6.719
O -1.290 8.861 3.142
O -1.997 6.429 5.574
O -3.432 7.864 4.287
O 0.145 7.574 4.577
O -1.290 2.287 10.006
O 4.577 6.719 5.574
```



(3)
Entry from the Alexandria database: crystalline PaPbAu2O6 at its relaxed geometry (GGA-PBE). Values from VASP.

The value obtained for the density is 8.636 g/cm³. As for the space group: C2/c. As for the formation energy (no corrections): -1371 meV/atom.

Structure (Quantum ESPRESSO input):
```
&SYSTEM
  ibrav = 0, nat = 20, ntyp = 4
/
ATOMIC_SPECIES
Pa 231.04 Pa.upf
Pb 207.20 Pb.upf
Au 196.97 Au.upf
O 16.00 O.upf
CELL_PARAMETERS angstrom
6.972 -4.977 0.000
6.972 4.977 0.000
-2.100 0.000 5.143
ATOMIC_POSITIONS angstrom
Pa 5.397 3.747 3.858
Pa 6.447 -3.747 1.286
Pb 6.447 1.018 1.286
Pb 5.397 -1.018 3.858
Au 2.868 0.042 1.500
Au 1.818 -0.042 4.071
Au 10.026 0.042 1.072
Au 8.976 -0.042 3.644
O 0.011 0.394 3.283
O 1.061 -0.394 0.711
O 4.101 2.454 4.825
O 6.692 2.454 2.890
O 4.580 0.580 2.386
O 3.530 -0.580 4.958
O 8.314 0.580 0.186
O 7.264 -0.580 2.758
O 5.152 -2.454 2.253
O 7.742 -2.454 0.318
O 10.782 0.394 4.433
O 11.832 -0.394 1.861
```



(4)
Entry from the Alexandria database: crystalline PaPbAuO5 at its relaxed geometry (GGA-PBE). Values from VASP.

The value obtained for the density is 8.934 g/cm³. As for the space group: C2/c. As for the formation energy (no corrections): -1720 meV/atom.

Structure (Quantum ESPRESSO input):
```
&SYSTEM
  ibrav = 0, nat = 16, ntyp = 4
/
ATOMIC_SPECIES
Pa 231.04 Pa.upf
Pb 207.20 Pb.upf
Au 196.97 Au.upf
O 16.00 O.upf
CELL_PARAMETERS angstrom
3.269 -5.135 0.000
3.269 5.135 0.000
-2.324 0.000 7.918
ATOMIC_POSITIONS angstrom
Pa 0.000 0.000 0.000
Pa -1.162 0.000 3.959
Pb 1.526 1.816 5.938
Pb 2.688 -1.816 1.979
Au 2.688 1.628 1.979
Au 1.526 -1.628 5.938
O 1.526 4.482 5.938
O 3.070 3.063 0.559
O 2.306 3.063 3.400
O 2.108 0.112 0.707
O 0.946 -0.112 4.666
O 3.268 0.112 3.252
O 2.106 -0.112 7.211
O 1.908 -3.063 4.518
O 1.144 -3.063 7.359
O 2.688 -4.482 1.979
```



(5)
Entry from the Alexandria database: crystalline PaPb2AuO6 at its relaxed geometry (GGA-PBE). Values from VASP.

The value obtained for the density is 9.522 g/cm³. As for the space group: P4mm. As for the formation energy (no corrections): -1507 meV/atom.

Structure (Quantum ESPRESSO input):
```
&SYSTEM
  ibrav = 0, nat = 10, ntyp = 4
/
ATOMIC_SPECIES
Pa 231.04 Pa.upf
Pb 207.20 Pb.upf
Au 196.97 Au.upf
O 16.00 O.upf
CELL_PARAMETERS angstrom
6.032 0.000 0.000
0.000 6.032 0.000
0.000 0.000 4.497
ATOMIC_POSITIONS angstrom
Pa 0.000 0.000 0.000
Pb 0.000 3.016 1.862
Pb 3.016 0.000 1.862
Au 3.016 3.016 0.111
O 0.000 0.000 2.324
O 1.493 1.493 0.286
O 1.493 4.539 0.286
O 3.016 3.016 2.378
O 4.539 1.493 0.286
O 4.539 4.539 0.286
```



(6)
Entry from the Alexandria database: crystalline PaPbAuO6 at its relaxed geometry (GGA-PBE). Values from VASP.

The value obtained for the density is 8.325 g/cm³. As for the space group: P-31c. As for the formation energy (no corrections): -1537 meV/atom.

Structure (Quantum ESPRESSO input):
```
&SYSTEM
  ibrav = 0, nat = 18, ntyp = 4
/
ATOMIC_SPECIES
Pa 231.04 Pa.upf
Pb 207.20 Pb.upf
Au 196.97 Au.upf
O 16.00 O.upf
CELL_PARAMETERS angstrom
5.617 0.000 0.000
-2.808 4.864 0.000
0.000 0.000 10.676
ATOMIC_POSITIONS angstrom
Pa 0.000 3.243 2.669
Pa 2.808 1.621 8.007
Pb 0.000 0.000 0.000
Pb 0.000 0.000 5.338
Au 0.000 3.243 8.007
Au 2.808 1.621 2.669
O -0.943 1.808 6.868
O -1.714 3.144 9.146
O 0.943 1.808 9.146
O -0.771 4.777 6.868
O 2.037 0.088 1.530
O 1.095 1.721 3.808
O 1.714 3.144 6.868
O 0.771 4.777 9.146
O 3.580 0.088 3.808
O 1.866 3.056 1.530
O 4.522 1.721 1.530
O 3.751 3.056 3.808
```